Density functional theory data (GGA+U) for crystalline NdCrAs2O8 at its relaxed geometry.

Cell lengths 5.4094, 5.4094, 6.7630 Å; angles 90.00, 90.00, 120.00 degrees
Closest atoms and distances in Å follow each position.
Fractional coordinates of all 12 atoms:
1 Nd 0.0000 0.0000 0.0000  6 O 2.52
2 Cr 0.0000 0.0000 0.5000  6 O 2.00
3 As 0.3333 0.6667 0.2303  4 O 1.69-1.71
4 As 0.6667 0.3333 0.7697  4 O 1.69-1.71
5 O 0.1577 0.3155 0.3013  1 As 1.71
6 O 0.1577 0.8423 0.3013  1 As 1.71
7 O 0.3155 0.1577 0.6987  1 As 1.71
8 O 0.3333 0.6667 0.9799  1 As 1.69
9 O 0.6667 0.3333 0.0201  1 As 1.69
10 O 0.6845 0.8423 0.3013  1 As 1.71
11 O 0.8423 0.1577 0.6987  1 As 1.71
12 O 0.8423 0.6845 0.6987  1 As 1.71

Size of the total moment in μB per formula unit: 2.93
Uncorrected energy in eV/atom: -6.92